# Gd2ZnIr (PBE, relaxed)
data_Gd2ZnIr
_chemical_formula_sum 'Gd6 Zn3 Ir3'
_space_group_name_H-M_alt 'R -3 m'
_space_group_IT_number 166
_space_group_name_Hall '-R 3 2"'
_cell_length_a 4.0458
_cell_length_b 4.0458
_cell_length_c 22.0157
_cell_angle_alpha 90.00
_cell_angle_beta 90.00
_cell_angle_gamma 120.00
loop_
_atom_site_label
_atom_site_fract_x
_atom_site_fract_y
_atom_site_fract_z
Gd1 0.0000 0.0000 0.2369
Zn1 0.0000 0.0000 0.0000
Ir1 0.0000 0.0000 0.5000
# E_form   -168 kJ/mol of formula units
# ρ   9.1 Mg/m³
# Raw total energy   -10.0100 eV per atom